First-principles (PBE with a Hubbard U) data for a relaxed CaDyV4O12 crystal, as listed in the Alexandria database.

a b c (Å): 7.4700 5.3618 5.3618
angles (deg): 86.09 90.00 90.00
Sites, in units of the cell vectors:
Ca  0.0000  0.0000  0.0000
Dy  0.5000  0.4208  0.4208
V  0.2470  0.4806  0.9603
V  0.2470  0.9603  0.4806
V  0.7530  0.4806  0.9603
V  0.7530  0.9603  0.4806
O  0.0000  0.4707  0.9015
O  0.0000  0.9015  0.4707
O  0.2213  0.2319  0.2319
O  0.2494  0.1401  0.7322
O  0.2494  0.7322  0.1401
O  0.2954  0.6379  0.6379
O  0.5000  0.4177  0.9947
O  0.5000  0.9947  0.4177
O  0.7046  0.6379  0.6379
O  0.7506  0.1401  0.7322
O  0.7506  0.7322  0.1401
O  0.7787  0.2319  0.2319

Summary:
Size of the total moment = 1.0 μB per formula unit
E = -7.52 eV/atom